# 1
Here is a relaxed LaP2Os crystal from Alexandria via LeMat-Bulk. Energies are from GGA-PBE.

Summary:
E_form: -673 meV/atom
distance to the lowest polymorph of the same formula: 204 meV/atom
DOS(E_F): 2.59 states/eV/f.u.
calculated volume: 22.65 Å³ per atom

a = 5.810 Å, b = 5.810 Å, c = 4.270 Å
α = 90.00°, β = 90.00°, γ = 141.06°
Element x y z (fractional)
1 P 0.577 0.423 0.500
2 La 0.973 0.027 0.000
3 P 0.262 0.738 0.000
4 Os 0.191 0.809 0.500



# 2
Here is a relaxed Rb2TiPd crystal from Alexandria via LeMat-Bulk. Energies are from GGA-PBE.

Summary:
E_form: 1102 meV/atom
distance to the lowest polymorph of the same formula: 498 meV/atom
DOS(E_F): 14.52 states/eV/f.u.
calculated volume: 36.12 Å³ per atom

a = 5.890 Å, b = 5.890 Å, c = 5.890 Å
α = 60.00°, β = 60.00°, γ = 60.00°
Each line ends with the local moment (μB).
Element x y z (fractional)
1 Pd 0.500 0.500 0.500  0.02
2 Rb 0.750 0.750 0.750  0.04
3 Ti 0.000 0.000 0.000  2.24
4 Rb 0.250 0.250 0.250  0.04